VASP calculation (PBE-GGA) on a geometry-optimized La5Pm2YTm structure.

Calculated values
crystal system = tetragonal
N(E_F) = 32.22 states/eV/cell
ΔH_f (0 K) = 6.24 kcal/mol of atoms

Geometry as extended XYZ:
```
18
Lattice="-4.3270 4.3270 8.6230 4.3270 -4.3270 8.6230 4.3270 4.3270 -8.6230" Properties=species:S:1:pos:R:3 pbc="T T T"
La 0.0000 0.0000 0.0000
La 6.2301 1.9031 -2.4780
La 1.9031 2.4240 -2.4780
La 6.2301 1.9031 2.4780
La 1.9031 2.4240 2.4780
La 0.0000 0.0000 8.6230
La 2.4240 1.9031 6.1450
La -1.9031 2.4240 6.1450
La 2.4240 1.9031 11.1010
La -1.9031 2.4240 11.1010
Pm 3.2586 1.0685 0.0000
Pm 3.2586 -1.0685 8.6230
Pm 1.0685 5.3955 0.0000
Pm 1.0685 3.2586 8.6230
Y 4.3270 0.0000 4.3115
Y 0.0000 4.3270 4.3115
Tm 0.0000 0.0000 4.3115
Tm 0.0000 0.0000 12.9345
```